1.
Density functional theory data (PBE) for BeInCoCu after structural relaxation.

Lattice parameters (Å, degrees): 4.176 4.176 4.176 60.00 60.00 60.00
Atoms (fractional coordinates):
Be1 0.000 0.000 0.000
In1 0.500 0.500 0.500
Co1 0.750 0.750 0.750
Cu1 0.250 0.250 0.250

* distance to the lowest polymorph of the same formula: 0.00 eV per formula unit
* space group: No. 216
* calculated density: 7942 kg/m³
* crystal system: cubic

***

2.
Density functional theory data (PBE) for Cu12Te after structural relaxation.

Lattice parameters (Å, degrees): 4.389 6.692 24.081 90.33 90.41 90.03
Atoms (fractional coordinates):
Cu1 0.074 0.030 0.141
Cu2 0.077 0.608 0.840
Cu3 0.084 0.749 0.942
Cu4 0.085 0.892 0.041
Cu5 0.247 0.394 0.926
Cu6 0.247 0.681 0.126
Cu7 0.252 0.537 0.025
Cu8 0.259 0.247 0.826
Cu9 0.414 0.322 0.108
Cu10 0.416 0.178 0.009
Cu11 0.419 0.038 0.909
Cu12 0.423 0.895 0.813
Cu13 0.577 0.105 0.187
Cu14 0.581 0.962 0.091
Cu15 0.584 0.822 0.991
Cu16 0.586 0.678 0.892
Cu17 0.741 0.753 0.174
Cu18 0.748 0.463 0.975
Cu19 0.753 0.319 0.874
Cu20 0.753 0.606 0.074
Cu21 0.915 0.108 0.959
Cu22 0.916 0.251 0.058
Cu23 0.923 0.392 0.160
Cu24 0.926 0.970 0.859
Te1 0.420 0.462 0.222
Te2 0.580 0.538 0.778

* distance to the lowest polymorph of the same formula: 0.63 eV per formula unit
* space group: No. 2
* calculated density: 4180 kg/m³
* crystal system: triclinic

***

3.
Density functional theory data (PBE) for Zr2Mo4Au3N3 after structural relaxation.

Lattice parameters (Å, degrees): 5.548 5.548 13.550 101.48 101.48 60.33
Atoms (fractional coordinates):
Zr1 0.034 0.864 0.607
Zr2 0.136 0.966 0.893
Zr3 0.864 0.034 0.107
Zr4 0.966 0.136 0.393
Mo1 0.194 0.365 0.073
Mo2 0.318 0.464 0.427
Mo3 0.365 0.194 0.573
Mo4 0.464 0.318 0.927
Mo5 0.536 0.682 0.073
Mo6 0.635 0.806 0.427
Mo7 0.682 0.536 0.573
Mo8 0.806 0.635 0.927
Au1 0.081 0.329 0.747
Au2 0.329 0.081 0.247
Au3 0.495 0.505 0.750
Au4 0.505 0.495 0.250
Au5 0.671 0.919 0.753
Au6 0.919 0.671 0.253
N1 0.000 0.500 0.500
N2 0.154 0.694 0.000
N3 0.306 0.846 0.500
N4 0.500 0.000 0.000
N5 0.694 0.154 0.500
N6 0.846 0.306 0.000

* raw total energy: -8.417 eV/atom
* space group: No. 15
* calculated density: 11292 kg/m³
* crystal system: monoclinic

***

4.
Density functional theory data (PBE) for Er2ReTe6 after structural relaxation.

Lattice parameters (Å, degrees): 8.313 8.313 3.957 90.00 90.00 120.00
Atoms (fractional coordinates):
Er1 0.333 0.667 0.000
Er2 0.667 0.333 0.000
Re1 0.000 0.000 0.500
Te1 0.000 0.233 0.000
Te2 0.000 0.569 0.500
Te3 0.233 0.000 0.000
Te4 0.431 0.431 0.500
Te5 0.569 0.000 0.500
Te6 0.767 0.767 0.000

* raw total energy: -5.020 eV/atom
* space group: No. 189
* calculated density: 9019 kg/m³
* crystal system: hexagonal

***

5.
Density functional theory data (PBE) for Hf2CoTc after structural relaxation.

Lattice parameters (Å, degrees): 4.511 4.511 4.511 60.00 60.00 60.00
Atoms (fractional coordinates):
Hf1 0.000 0.000 0.000
Hf2 0.250 0.250 0.250
Co1 0.750 0.750 0.750
Tc1 0.500 0.500 0.500

* DFT formation energy: 0.0385 eV per atom
* distance to the lowest polymorph of the same formula: 2.13 eV per formula unit
* space group: No. 216
* calculated density: 13149 kg/m³
* crystal system: cubic

***

6.
Density functional theory data (PBE) for CoTcBIr after structural relaxation.

Lattice parameters (Å, degrees): 4.089 4.089 4.089 60.00 60.00 60.00
Atoms (fractional coordinates):
Co1 0.000 0.000 0.000
Tc1 0.500 0.500 0.500
B1 0.750 0.750 0.750
Ir1 0.250 0.250 0.250

* distance to the lowest polymorph of the same formula: 0.00 eV per formula unit
* space group: No. 216
* calculated density: 12362 kg/m³
* crystal system: cubic

***

7.
Density functional theory data (PBE) for Ta2As after structural relaxation.

Lattice parameters (Å, degrees): 11.934 14.920 3.482 90.00 90.00 90.00
Atoms (fractional coordinates):
Ta1 0.028 0.110 0.000
Ta2 0.080 0.744 0.500
Ta3 0.086 0.580 0.000
Ta4 0.115 0.428 0.500
Ta5 0.141 0.977 0.500
Ta6 0.196 0.202 0.500
Ta7 0.304 0.702 0.000
Ta8 0.359 0.477 0.000
Ta9 0.385 0.928 0.000
Ta10 0.414 0.080 0.500
Ta11 0.420 0.244 0.000
Ta12 0.472 0.610 0.500
Ta13 0.528 0.390 0.500
Ta14 0.580 0.756 0.000
Ta15 0.586 0.920 0.500
Ta16 0.615 0.072 0.000
Ta17 0.641 0.523 0.000
Ta18 0.696 0.298 0.000
Ta19 0.804 0.798 0.500
Ta20 0.859 0.023 0.500
Ta21 0.885 0.572 0.500
Ta22 0.914 0.420 0.000
Ta23 0.920 0.256 0.500
Ta24 0.972 0.890 0.000
As1 0.080 0.296 0.000
As2 0.188 0.849 0.000
As3 0.247 0.581 0.500
As4 0.253 0.081 0.000
As5 0.312 0.349 0.500
As6 0.420 0.796 0.500
As7 0.580 0.204 0.500
As8 0.688 0.651 0.500
As9 0.747 0.919 0.000
As10 0.753 0.419 0.500
As11 0.812 0.151 0.000
As12 0.920 0.704 0.000

* raw total energy: -9.851 eV/atom
* space group: No. 58
* calculated density: 14040 kg/m³
* crystal system: orthorhombic

***

8.
Density functional theory data (PBE) for Tl2GaAgF6 after structural relaxation.

Lattice parameters (Å, degrees): 5.926 5.926 5.926 60.00 60.00 60.00
Atoms (fractional coordinates):
Tl1 0.250 0.250 0.250
Tl2 0.750 0.750 0.750
Ga1 0.000 0.000 0.000
Ag1 0.500 0.500 0.500
F1 0.225 0.225 0.775
F2 0.225 0.775 0.225
F3 0.225 0.775 0.775
F4 0.775 0.225 0.225
F5 0.775 0.225 0.775
F6 0.775 0.775 0.225

* raw total energy: -4.145 eV/atom
* space group: No. 225
* calculated density: 7903 kg/m³
* crystal system: cubic

***

9.
Density functional theory data (PBE) for NaErSeO after structural relaxation.

Lattice parameters (Å, degrees): 6.655 6.655 6.655 32.24 32.24 32.24
Atoms (fractional coordinates):
Na1 0.000 0.000 0.000
Er1 0.525 0.525 0.525
Se1 0.763 0.763 0.763
O1 0.242 0.242 0.242

* distance to the lowest polymorph of the same formula: 0.73 eV per formula unit
* space group: No. 160
* calculated density: 6354 kg/m³
* crystal system: trigonal

***

10.
Density functional theory data (PBE) for PrAs2Pd2 after structural relaxation.

Lattice parameters (Å, degrees): 6.105 6.105 6.105 138.83 138.83 59.64
Atoms (fractional coordinates):
Pr1 0.000 0.000 0.000
As1 0.380 0.380 0.000
As2 0.620 0.620 0.000
Pd1 0.250 0.750 0.500
Pd2 0.750 0.250 0.500

* raw total energy: -5.752 eV/atom
* space group: No. 139
* calculated density: 8566 kg/m³
* crystal system: tetragonal

***

11.
Density functional theory data (PBE) for KIrSe2O8 after structural relaxation.

Lattice parameters (Å, degrees): 8.101 8.101 8.101 34.84 34.84 34.84
Atoms (fractional coordinates):
K1 0.000 0.000 0.000
Ir1 0.500 0.500 0.500
Se1 0.244 0.244 0.244
Se2 0.756 0.756 0.756
O1 0.117 0.779 0.441
O2 0.221 0.559 0.883
O3 0.315 0.315 0.315
O4 0.441 0.117 0.779
O5 0.559 0.883 0.221
O6 0.685 0.685 0.685
O7 0.779 0.441 0.117
O8 0.883 0.221 0.559

* raw total energy: -5.457 eV/atom
* space group: No. 148
* calculated density: 5546 kg/m³
* crystal system: trigonal

***

12.
Density functional theory data (PBE) for ErSi2OsPd after structural relaxation.

Lattice parameters (Å, degrees): 5.769 5.769 5.769 138.67 138.67 59.88
Atoms (fractional coordinates):
Er1 0.000 0.000 0.000
Si1 0.381 0.381 0.000
Si2 0.619 0.619 0.000
Os1 0.250 0.750 0.500
Pd1 0.750 0.250 0.500

* raw total energy: -7.167 eV/atom
* space group: No. 119
* calculated density: 10418 kg/m³
* crystal system: tetragonal

***

13.
Density functional theory data (PBE) for Y2ErMg3Ir3 after structural relaxation.

Lattice parameters (Å, degrees): 4.047 7.249 7.249 119.83 90.00 90.00
Atoms (fractional coordinates):
Y1 0.000 0.205 0.795
Y2 0.000 0.795 0.205
Er1 0.000 0.388 0.388
Mg1 0.500 0.040 0.040
Mg2 0.500 0.550 0.796
Mg3 0.500 0.796 0.550
Ir1 0.000 0.792 0.792
Ir2 0.500 0.132 0.461
Ir3 0.500 0.461 0.132

* raw total energy: -6.093 eV/atom
* space group: No. 38
* calculated density: 8951 kg/m³
* crystal system: orthorhombic

***

14.
Density functional theory data (PBE) for HoBeAl after structural relaxation.

Lattice parameters (Å, degrees): 4.622 4.622 4.622 60.00 60.00 60.00
Atoms (fractional coordinates):
Ho1 0.000 0.000 0.000
Be1 0.250 0.250 0.250
Al1 0.750 0.750 0.750

* distance to the lowest polymorph of the same formula: 2.58 eV per formula unit
* space group: No. 216
* calculated density: 4779 kg/m³
* crystal system: cubic

***

15.
Density functional theory data (PBE) for Pu4Se3N2 after structural relaxation.

Lattice parameters (Å, degrees): 6.967 6.967 9.929 127.20 127.20 32.70
Atoms (fractional coordinates):
Pu1 0.109 0.109 0.363
Pu2 0.297 0.297 0.862
Pu3 0.703 0.703 0.138
Pu4 0.891 0.891 0.637
Se1 0.000 0.000 0.000
Se2 0.396 0.396 0.239
Se3 0.604 0.604 0.761
N1 0.293 0.293 0.637
N2 0.707 0.707 0.363

* raw total energy: -10.852 eV/atom
* space group: No. 12
* calculated density: 10191 kg/m³
* crystal system: monoclinic

***

16.
Density functional theory data (PBE) for Ta7Al8 after structural relaxation.

Lattice parameters (Å, degrees): 9.996 9.996 5.200 90.00 90.00 90.00
Atoms (fractional coordinates):
Ta1 0.000 0.000 0.000
Ta2 0.079 0.267 0.000
Ta3 0.104 0.104 0.500
Ta4 0.233 0.579 0.500
Ta5 0.267 0.079 0.000
Ta6 0.396 0.604 0.000
Ta7 0.421 0.767 0.500
Ta8 0.500 0.500 0.500
Ta9 0.579 0.233 0.500
Ta10 0.604 0.396 0.000
Ta11 0.733 0.921 0.000
Ta12 0.767 0.421 0.500
Ta13 0.896 0.896 0.500
Ta14 0.921 0.733 0.000
Al1 0.044 0.374 0.500
Al2 0.126 0.544 0.000
Al3 0.169 0.831 0.252
Al4 0.169 0.831 0.748
Al5 0.331 0.331 0.248
Al6 0.331 0.331 0.752
Al7 0.374 0.044 0.500
Al8 0.456 0.874 0.000
Al9 0.544 0.126 0.000
Al10 0.626 0.956 0.500
Al11 0.669 0.669 0.248
Al12 0.669 0.669 0.752
Al13 0.831 0.169 0.252
Al14 0.831 0.169 0.748
Al15 0.874 0.456 0.000
Al16 0.956 0.626 0.500

* distance to the lowest polymorph of the same formula: 0.54 eV per formula unit
* space group: No. 136
* calculated density: 9475 kg/m³
* crystal system: tetragonal

***

17.
Density functional theory data (PBE) for PrSnIr after structural relaxation.

Lattice parameters (Å, degrees): 7.515 7.515 4.219 90.00 90.00 120.00
Atoms (fractional coordinates):
Pr1 0.000 0.413 0.000
Pr2 0.413 0.000 0.000
Pr3 0.587 0.587 0.000
Sn1 0.000 0.751 0.500
Sn2 0.249 0.249 0.500
Sn3 0.751 0.000 0.500
Ir1 0.000 0.000 0.000
Ir2 0.333 0.667 0.500
Ir3 0.667 0.333 0.500

* raw total energy: -6.644 eV/atom
* space group: No. 189
* calculated density: 10908 kg/m³
* crystal system: hexagonal

***

18.
Density functional theory data (PBE) for RbZnPt after structural relaxation.

Lattice parameters (Å, degrees): 4.927 4.927 4.927 60.00 60.00 60.00
Atoms (fractional coordinates):
Rb1 0.000 0.000 0.000
Zn1 0.500 0.500 0.500
Pt1 0.250 0.250 0.250

* distance to the lowest polymorph of the same formula: 0.00 eV per formula unit
* space group: No. 216
* calculated density: 6793 kg/m³
* crystal system: cubic

***

19.
Density functional theory data (PBE) for USi2 after structural relaxation.

Lattice parameters (Å, degrees): 7.677 7.677 7.677 136.09 136.09 63.85
Atoms (fractional coordinates):
U1 0.000 0.000 0.000
U2 0.000 0.000 0.500
U3 0.000 0.500 0.000
U4 0.500 0.000 0.500
Si1 0.057 0.589 0.468
Si2 0.380 0.411 0.968
Si3 0.411 0.380 0.468
Si4 0.411 0.943 0.032
Si5 0.589 0.057 0.968
Si6 0.589 0.620 0.532
Si7 0.620 0.589 0.032
Si8 0.943 0.411 0.532

* raw total energy: -7.421 eV/atom
* space group: No. 141
* calculated density: 9100 kg/m³
* crystal system: tetragonal

***

20.
Density functional theory data (PBE) for NaNb3Te5 after structural relaxation.

Lattice parameters (Å, degrees): 5.978 5.978 8.439 90.00 90.00 120.00
Atoms (fractional coordinates):
Na1 0.000 0.000 0.000
Nb1 0.000 0.500 0.500
Nb2 0.500 0.000 0.500
Nb3 0.500 0.500 0.500
Te1 0.000 0.000 0.500
Te2 0.333 0.667 0.230
Te3 0.333 0.667 0.770
Te4 0.667 0.333 0.230
Te5 0.667 0.333 0.770

* raw total energy: -5.602 eV/atom
* space group: No. 191
* calculated density: 5974 kg/m³
* crystal system: hexagonal

***

21.
Density functional theory data (PBE) for Tb4SiI5 after structural relaxation.

Lattice parameters (Å, degrees): 9.803 9.803 8.823 102.27 102.27 24.76
Atoms (fractional coordinates):
Tb1 0.000 0.000 0.210
Tb2 0.000 0.000 0.790
Tb3 0.355 0.355 0.927
Tb4 0.645 0.645 0.073
Si1 0.500 0.500 0.000
I1 0.166 0.166 0.336
I2 0.172 0.172 0.828
I3 0.500 0.500 0.500
I4 0.828 0.828 0.172
I5 0.834 0.834 0.664

* raw total energy: -4.352 eV/atom
* space group: No. 12
* calculated density: 6221 kg/m³
* crystal system: monoclinic